## PmHf2CoN4 (PBE)

Data for a relaxed PmHf2CoN4 crystal.

Energy relative to the elements, uncorrected (eV per atom): -1.337
Magnetic moment (μB per atom): 0.1189
E_tot (eV/atom): -9.470

Cell and atoms, written as CIF:
```
data_PmHf2CoN4
_cell_length_a 3.225
_cell_length_b 10.973
_cell_length_c 11.049
_cell_angle_alpha 90.00
_cell_angle_beta 90.00
_cell_angle_gamma 90.00
_space_group_name_H-M_alt 'C m c m'
_space_group_IT_number 63
_space_group_name_Hall '-C 2c 2'
loop_
_atom_site_label
_atom_site_type_symbol
_atom_site_fract_x
_atom_site_fract_y
_atom_site_fract_z
Pm1 Pm 0.000 0.107 0.250
Hf1 Hf 0.000 0.367 0.054
Co1 Co 0.000 0.156 0.750
N1 N 0.000 0.000 0.000
N2 N 0.000 0.267 0.612
N3 N 0.000 0.440 0.250
```